Material: ZrTlAs2
Method: DFT, PBE-GGA
State: relaxed

Calculated values
E = -5.183 eV/atom
ΔE to the lowest computed polymorph = 0.3483 eV/atom
Total magnetization = 0.000 μB per atom
ΔE_f = -0.13 eV per atom

a = 4.8264 Å, b = 4.8264 Å, c = 3.6156 Å
α = 90.00°, β = 90.00°, γ = 90.00°
Closest atoms and distances in Å follow each position.
Space group P4/mmm (No. 123)
Inequivalent atoms, fractional coordinates:
Zr (0.0000, 0.0000, 0.0000) x1  8 As 3.02
Tl (0.5000, 0.5000, 0.0000) x1  8 As 3.02
As (0.0000, 0.5000, 0.5000) x2  4 Zr 3.02, 4 Tl 3.02